1.
The following is a DFT calculation (PBE-GGA) of a geometry-optimized NaTiAu2 structure.

Geometry as POSCAR:
```
NaTiAu2
1.0
7.555 0.000 0.000
0.000 7.555 0.000
3.778 3.778 2.966
Ti Na Au
2 2 4
direct
0.000 0.000 0.000
0.750 0.250 0.500
0.250 0.750 0.500
0.500 0.500 0.000
0.656 0.125 0.250
0.875 0.906 0.750
0.094 0.625 0.250
0.375 0.344 0.750
```

Output
DFT formation energy	130	meV per atom
energy	-15.247	eV per formula unit
crystal system	tetragonal
DOS(E_F)	1.0039	states/eV/atom
magnetic moment	1.5	μB/f.u.

=====

2.
The following is a DFT calculation (PBE-GGA) of a geometry-optimized BeFe2RhBr structure.

Geometry as POSCAR:
```
BeFe2RhBr
1.0
-2.750 3.817 -0.818
-0.381 -1.140 -4.038
-3.879 -2.561 1.090
Fe Br Be Rh
2 1 1 1
direct
0.000 0.000 0.500
0.500 0.000 0.000
0.500 0.500 0.500
0.000 0.500 0.000
0.000 0.000 0.000
```

Output
energy	-25.315	eV per formula unit
crystal system	tetragonal
DOS(E_F)	1.5680	states/eV/atom
magnetic moment	7.1	μB/f.u.
formation energy without anion corrections	872	meV/atom

=====

Copy entry 1 word for word.
The following is a DFT calculation (PBE-GGA) of a geometry-optimized NaTiAu2 structure.

Geometry as POSCAR:
```
NaTiAu2
1.0
7.555 0.000 0.000
0.000 7.555 0.000
3.778 3.778 2.966
Ti Na Au
2 2 4
direct
0.000 0.000 0.000
0.750 0.250 0.500
0.250 0.750 0.500
0.500 0.500 0.000
0.656 0.125 0.250
0.875 0.906 0.750
0.094 0.625 0.250
0.375 0.344 0.750
```

Output
DFT formation energy	130	meV per atom
energy	-15.247	eV per formula unit
crystal system	tetragonal
DOS(E_F)	1.0039	states/eV/atom
magnetic moment	1.5	μB/f.u.